Entry 1:
## NdVClO4 (PBE with a Hubbard U)

Data for crystalline NdVClO4 at its relaxed geometry.

Results
The volume is 267 Å³ per cell. Its energy is -6.996 eV per atom. The calculation puts the density of states at the Fermi level at 0.0942 states/eV per atom. Its calculated density is 3.7 Mg/m³.

Unit cell a=6.559 b=6.559 c=6.872 alpha=80.49 beta=80.49 gamma=67.19
Each line ends with the local moment (μB).
Fractional coordinates of all 14 atoms:
Nd: 0.252 0.252 0.873  -0.01
Nd: 0.748 0.748 0.127  -0.01
V: 0.632 0.632 0.729  -0.10
V: 0.368 0.368 0.271  -0.10
Cl: 0.018 0.018 0.183  0.37
Cl: 0.982 0.982 0.817  0.37
O: 0.309 0.309 0.524  0.23
O: 0.691 0.691 0.476  0.23
O: 0.128 0.495 0.148  0.02
O: 0.529 0.529 0.230  0.23
O: 0.505 0.872 0.852  0.02
O: 0.495 0.128 0.148  0.02
O: 0.471 0.471 0.770  0.23
O: 0.872 0.505 0.852  0.02

=====

Entry 2:
## Nd3WCl3O6 (PBE with a Hubbard U)

Data for crystalline Nd3WCl3O6 at its relaxed geometry.

Results
The volume is 412 Å³ per cell. Its energy is -7.119 eV per atom. The calculation puts the density of states at the Fermi level at 0.0000 states/eV per atom. Its calculated density is 6.6 Mg/m³.

Unit cell a=9.375 b=9.375 c=5.413 alpha=90.00 beta=90.00 gamma=120.00
Fractional coordinates of all 26 atoms:
Nd: 0.910 0.595 0.750
Nd: 0.090 0.405 0.250
Nd: 0.686 0.090 0.750
Nd: 0.314 0.910 0.250
Nd: 0.405 0.314 0.750
Nd: 0.595 0.686 0.250
W: 0.333 0.667 0.750
W: 0.667 0.333 0.250
Cl: 0.759 0.808 0.750
Cl: 0.241 0.192 0.250
Cl: 0.049 0.241 0.750
Cl: 0.951 0.759 0.250
Cl: 0.192 0.951 0.750
Cl: 0.808 0.049 0.250
O: 0.476 0.841 0.983
O: 0.524 0.159 0.017
O: 0.364 0.524 0.983
O: 0.524 0.159 0.483
O: 0.636 0.476 0.017
O: 0.476 0.841 0.517
O: 0.159 0.636 0.983
O: 0.636 0.476 0.483
O: 0.841 0.364 0.017
O: 0.364 0.524 0.517
O: 0.841 0.364 0.483
O: 0.159 0.636 0.517

=====

Entry 3:
## Nd3WCl2O6 (PBE with a Hubbard U)

Data for crystalline Nd3WCl2O6 at its relaxed geometry.

Results
The volume is 219 Å³ per cell. Its energy is -7.011 eV per atom. The calculation puts the density of states at the Fermi level at 0.1467 states/eV per atom. Its calculated density is 5.9 Mg/m³.

Unit cell a=5.589 b=6.482 c=6.909 alpha=117.98 beta=82.67 gamma=90.00
Fractional coordinates of all 12 atoms:
Nd: 0.000 0.500 0.000
Nd: 0.500 0.500 0.500
Nd: 0.500 0.000 0.500
W: 0.500 0.000 0.000
Cl: 0.118 0.709 0.418
Cl: 0.882 0.291 0.582
O: 0.699 0.282 0.113
O: 0.301 0.718 0.887
O: 0.678 0.853 0.705
O: 0.322 0.147 0.295
O: 0.301 0.169 0.887
O: 0.699 0.831 0.113